(1)
The following is a GGA-PBE calculation of crystalline LiLa2Mn at its relaxed geometry, from Alexandria via LeMat-Bulk.

Energy = -19.74 eV per cell
Total magnetic moment = 0.882 μB per atom
Space group = F-43m

Cell lengths 5.1770, 5.1770, 5.1770 Å; angles 60.00, 60.00, 60.00 degrees
Atoms (fractional coordinates):
Li 0.0000 0.0000 0.0000
La 0.5000 0.5000 0.5000
La 0.7500 0.7500 0.7500
Mn 0.2500 0.2500 0.2500


(2)
The following is a GGA-PBE calculation of crystalline LiLaMn3 at its relaxed geometry, from Alexandria via LeMat-Bulk.

Polymorph energy (0 for the lowest one) = 0 meV per atom
Total magnetic moment = 2.109 μB per atom
Space group = Pm-3m

Cell lengths 4.6006, 4.6006, 4.6006 Å; angles 90.00, 90.00, 90.00 degrees
Atoms (fractional coordinates):
Li 0.0000 0.0000 0.0000
La 0.5000 0.5000 0.5000
Mn 0.0000 0.0000 0.5000
Mn 0.0000 0.5000 0.0000
Mn 0.5000 0.0000 0.0000


(3)
The following is a GGA-PBE calculation of crystalline LiLaMn4 at its relaxed geometry, from Alexandria via LeMat-Bulk.

Energy = -41.10 eV per cell
Total magnetic moment = 1.669 μB per atom
Space group = F-43m

Cell lengths 5.1711, 5.1711, 5.1711 Å; angles 60.00, 60.00, 60.00 degrees
Atoms (fractional coordinates):
Li 0.0000 0.0000 0.0000
La 0.2500 0.2500 0.2500
Mn 0.1212 0.6263 0.6263
Mn 0.6263 0.1212 0.6263
Mn 0.6263 0.6263 0.1212
Mn 0.6263 0.6263 0.6263


(4)
The following is a GGA-PBE calculation of crystalline LiLa2Mn at its relaxed geometry, from Alexandria via LeMat-Bulk.

Energy = -19.65 eV per cell
Total magnetic moment = 0.849 μB per atom
Space group = R-3m

Cell lengths 10.4943, 10.4943, 10.4943 Å; angles 19.76, 19.76, 19.76 degrees
Atoms (fractional coordinates):
Li 0.0000 0.0000 0.0000
La 0.2399 0.2399 0.2399
La 0.7601 0.7601 0.7601
Mn 0.5000 0.5000 0.5000